Material: Ac8NiOs3Cl4
Method: DFT, PBE-GGA
State: optimized geometry

Results
* space-group type: R-3m, No. 166
* final energy: -5.85 eV per atom

```
Ac8NiOs3Cl4
1.0
4.303 2.484 7.965
-4.303 2.484 7.965
0.000 -4.969 7.965
Ac Ni Os Cl
8 1 3 4
Direct
0.229 0.737 0.737
0.235 0.235 0.235
0.263 0.263 0.771
0.263 0.771 0.263
0.737 0.229 0.737
0.737 0.737 0.229
0.765 0.765 0.765
0.771 0.263 0.263
0.500 0.500 0.500
0.000 0.000 0.500
0.000 0.500 0.000
0.500 0.000 0.000
0.000 0.000 0.000
0.000 0.500 0.500
0.500 0.000 0.500
0.500 0.500 0.000
```